# 1
Here is an optimized crystal structure of YTmAl3 from Alexandria. Energies are from PBE-GGA.

The formation energy from the elements is -0.46 eV per atom. The volume is 438.3 Å³ per cell.

It has space group Cmcm (No. 63), with a = 3.530 Å, b = 27.439 Å, c = 4.524 Å, α = 90.00°, β = 90.00° and γ = 90.00°. The asymmetric unit holds Y at (0.000, 0.072, 0.250), Tm at (0.000, 0.212, 0.750), Al at (0.000, 0.328, 0.750), Al at (0.000, 0.380, 0.250) and Al at (0.000, 0.476, 0.250).

# 2
Here is an optimized crystal structure of Y4TmAl2 from Alexandria. Energies are from PBE-GGA.

The formation energy from the elements is 0.08 eV per atom. The volume is 658.0 Å³ per cell. The energy above the most stable polymorph in this dataset comes out at 272 meV/atom.

It has space group R-3m (No. 166, hexagonal axes), with a = 5.0310 Å, b = 5.0310 Å, c = 30.0179 Å, α = 90.00°, β = 90.00° and γ = 120.00°. The asymmetric unit holds Y at (0.0000, 0.0000, 0.1041), Y at (0.0000, 0.0000, 0.2974), Tm at (0.0000, 0.0000, 0.5000) and Al at (0.0000, 0.0000, 0.4008).

# 3
Here is an optimized crystal structure of Y6TmAl from Alexandria. Energies are from PBE-GGA.

The formation energy from the elements is 0.03 eV per atom. The volume is 734.9 Å³ per cell.

It has space group R-3 (No. 148, hexagonal axes), with a = 9.1993 Å, b = 9.1993 Å, c = 10.0297 Å, α = 90.00°, β = 90.00° and γ = 120.00°. The asymmetric unit holds Y at (0.0236, 0.7722, 0.2153), Tm at (0.0000, 0.0000, 0.5000) and Al at (0.0000, 0.0000, 0.0000).

# 4
Here is an optimized crystal structure of YTmAl from Alexandria. Energies are from PBE-GGA.

The formation energy from the elements is -0.04 eV per atom. The volume is 359.8 Å³ per cell. The energy above the most stable polymorph in this dataset comes out at 232 meV/atom.

It has space group F-43m (No. 216), with a = 7.112 Å, b = 7.112 Å, c = 7.112 Å, α = 90.00°, β = 90.00° and γ = 90.00°. The asymmetric unit holds Y at (0.000, 0.000, 0.000), Tm at (0.000, 0.000, 0.500) and Al at (0.250, 0.250, 0.250).

# 5
Here is an optimized crystal structure of YTm3Al from Alexandria. Energies are from PBE-GGA.

The formation energy from the elements is -0.16 eV per atom. The volume is 557.2 Å³ per cell. The energy above the most stable polymorph in this dataset comes out at 0 meV/atom.

It has space group C2/m (No. 12), with a = 12.861 Å, b = 3.536 Å, c = 12.311 Å, α = 90.00°, β = 95.57° and γ = 90.00°. The asymmetric unit holds Y at (0.225, 0.000, 0.248), Tm at (0.033, 0.000, 0.694), Tm at (0.135, 0.500, 0.483), Tm at (0.141, 0.000, 0.952) and Al at (0.049, 0.500, 0.122).

# 6
Here is an optimized crystal structure of Y2Tm8Al from Alexandria. Energies are from PBE-GGA.

The formation energy from the elements is -0.04 eV per atom. The volume is 645.4 Å³ per cell.

It has space group C2/m (No. 12), with a = 18.960 Å, b = 5.404 Å, c = 6.316 Å, α = 90.00°, β = 94.17° and γ = 90.00°. The asymmetric unit holds Y at (0.242, 0.000, 0.329), Tm at (0.043, 0.000, 0.255), Tm at (0.078, 0.500, 0.601), Tm at (0.153, 0.000, 0.809), Tm at (0.157, 0.500, 0.122) and Al at (0.000, 0.500, 0.000).

# 7
Here is an optimized crystal structure of Y4TmAl2 from Alexandria. Energies are from PBE-GGA.

The formation energy from the elements is -0.19 eV per atom. The volume is 574.5 Å³ per cell. The energy above the most stable polymorph in this dataset comes out at 0 meV/atom.

It has space group R-3m (No. 166, hexagonal axes), with a = 5.2267 Å, b = 5.2267 Å, c = 24.2821 Å, α = 90.00°, β = 90.00° and γ = 120.00°. The asymmetric unit holds Y at (0.0000, 0.0000, 0.0993), Y at (0.0000, 0.0000, 0.3623), Tm at (0.0000, 0.0000, 0.5000) and Al at (0.0000, 0.0000, 0.2326).

# 8
Here is an optimized crystal structure of Y2TmAl from Alexandria. Energies are from PBE-GGA.

The formation energy from the elements is -0.08 eV per atom. The volume is 345.2 Å³ per cell. The energy above the most stable polymorph in this dataset comes out at 120 meV/atom.

It has space group R3m (No. 160, hexagonal axes), with a = 3.5849 Å, b = 3.5849 Å, c = 31.0149 Å, α = 90.00°, β = 90.00° and γ = 120.00°. The asymmetric unit holds Y at (0.0000, 0.0000, 0.0000), Y at (0.0000, 0.0000, 0.1870), Tm at (0.0000, 0.0000, 0.4271) and Al at (0.0000, 0.0000, 0.5932).